No. 1
Tl2ReAgIr | PBE-GGA | relaxed

POSCAR file:
```
Tl2ReAgIr
1.0
-0.080 4.772 2.225
-4.292 -1.026 2.045
2.476 -1.929 4.229
Re Tl Ir Ag
1 2 1 1
Cartesian
-2.146 -0.513 1.023
1.238 -0.965 2.114
-0.040 2.386 1.112
0.000 0.000 0.000
-0.949 0.909 4.249
```

Computed properties:
total magnetic moment: 2.2 Bohr magnetons per cell
symmetry: P4/mmm, No. 123
formation energy: 1.17 eV per atom

No. 2
CsRb2Pd | PBE-GGA | relaxed

POSCAR file:
```
CsRb2Pd
1.0
-2.752 -4.842 -0.376
2.818 -4.762 -0.741
0.666 -4.313 9.212
Cs Rb Pd
1 2 1
Cartesian
0.330 -6.896 3.505
0.585 -4.172 8.000
0.108 -3.350 0.908
0.076 -6.458 -0.271
```

Computed properties:
total magnetic moment: 0.0 Bohr magnetons per cell
symmetry: R3m, No. 160
formation energy: 0.13 eV per atom

Question: Look up the total magnetic moment of the second one.
Answer: 0.0 Bohr magnetons per cell

Question: The lowest total magnetic moment belongs to which entry?
Answer: CsRb2Pd

Question: Among the records above, which one has the highest total magnetic moment?
Answer: Tl2ReAgIr

What did the second record say?
CsRb2Pd | PBE-GGA | relaxed

POSCAR file:
```
CsRb2Pd
1.0
-2.752 -4.842 -0.376
2.818 -4.762 -0.741
0.666 -4.313 9.212
Cs Rb Pd
1 2 1
Cartesian
0.330 -6.896 3.505
0.585 -4.172 8.000
0.108 -3.350 0.908
0.076 -6.458 -0.271
```

Computed properties:
total magnetic moment: 0.0 Bohr magnetons per cell
symmetry: R3m, No. 160
formation energy: 0.13 eV per atom